Below is an optimized crystal structure of LiPd2I, with properties calculated at the GGA-PBEsol level.

Properties
Crystal system = tetragonal

Lattice parameters (Å, degrees): 9.7009 9.7009 9.7009 156.66 156.66 33.24
Last column: nearest neighbours and their distance in Å.
Positions (direct):
1 Li 0.0000 0.0000 0.0000  4 Pd 2.70, 4 I 2.78
2 Li 0.7500 0.2500 0.5000  4 Pd 2.70, 4 I 2.78
3 Pd 0.1214 0.6250 0.9964  2 Li 2.70, 2 I 2.71, 4 Pd 2.75-2.80
4 Pd 0.3750 0.3714 0.4964  2 Li 2.70, 2 I 2.71, 4 Pd 2.75-2.80
5 Pd 0.6286 0.1250 0.0036  2 Li 2.70, 2 I 2.71, 4 Pd 2.75-2.80
6 Pd 0.8750 0.8786 0.5036  2 Li 2.70, 2 I 2.71, 4 Pd 2.75-2.80
7 I 0.2500 0.7500 0.5000  4 Pd 2.71, 4 Li 2.78
8 I 0.5000 0.5000 0.0000  4 Pd 2.71, 4 Li 2.78



Below is an optimized crystal structure of LiPdI3, with properties calculated at the GGA-PBEsol level.

Properties
Crystal system = cubic

Lattice parameters (Å, degrees): 5.4577 5.4577 5.4577 90.00 90.00 90.00
Last column: nearest neighbours and their distance in Å.
Positions (direct):
1 Li 0.0000 0.0000 0.0000  12 I 3.86
2 Pd 0.5000 0.5000 0.5000  6 I 2.73
3 I 0.0000 0.5000 0.5000  2 Pd 2.73
4 I 0.5000 0.0000 0.5000  2 Pd 2.73
5 I 0.5000 0.5000 0.0000  2 Pd 2.73



Uncorrected energy, record by record: -0.1500 -0.1110 Ha/atom
Formation energy (no corrections), record by record: -0.1695 -0.3749 eV/atom